Entry 1:
Entry from the Alexandria database: an optimized crystal structure of Cu2AsW (GGA-PBE).

Lattice parameters (Å, degrees): 3.0834 4.1340 4.4479 90.00 90.00 90.00
Atoms (fractional coordinates):
As (0.0000, 0.5000, 0.5000)
Cu (0.0000, 0.0000, 0.0000)
Cu (0.5000, 0.5000, 0.0000)
W (0.5000, 0.0000, 0.5000)

Summary:
The uncorrected energy is -6.10 eV per atom. The total moment comes out at 0.0 μB per formula unit.

---

Entry 2:
Entry from the Alexandria database: an optimized crystal structure of CuAsW2 (GGA-PBE).

Lattice parameters (Å, degrees): 4.3991 2.7874 5.1404 76.05 90.00 90.00
Atoms (fractional coordinates):
As (0.0000, 0.7430, 0.5259)
Cu (0.5000, 0.5789, 0.7412)
W (0.0000, 0.9926, 0.9877)
W (0.5000, 0.1854, 0.2452)

Summary:
The uncorrected energy is -8.29 eV per atom. The total moment comes out at 0.0 μB per formula unit.

---

Entry 3:
Entry from the Alexandria database: an optimized crystal structure of CuAsW2 (GGA-PBE).

Lattice parameters (Å, degrees): 4.4213 4.4213 4.4213 60.00 60.00 60.00
Atoms (fractional coordinates):
As (0.5000, 0.5000, 0.5000)
Cu (0.7500, 0.7500, 0.7500)
W (0.0000, 0.0000, 0.0000)
W (0.2500, 0.2500, 0.2500)

Summary:
The uncorrected energy is -8.08 eV per atom. The total moment comes out at 0.0 μB per formula unit.

---

Entry 4:
Entry from the Alexandria database: an optimized crystal structure of CuAsW2 (GGA-PBE).

Lattice parameters (Å, degrees): 4.8706 4.8706 4.5008 73.67 73.67 35.53
Atoms (fractional coordinates):
As (0.5111, 0.5111, 0.5342)
Cu (0.2378, 0.2378, 0.2110)
W (0.9812, 0.9812, 0.0564)
W (0.7699, 0.7699, 0.6983)

Summary:
The uncorrected energy is -8.29 eV per atom. The total moment comes out at 0.0 μB per formula unit.

---

Entry 5:
Entry from the Alexandria database: an optimized crystal structure of CuAsW2 (GGA-PBE).

Lattice parameters (Å, degrees): 3.7338 3.7338 9.7534 78.96 78.96 90.00
Atoms (fractional coordinates):
As (0.0000, 0.0000, 0.0000)
As (0.7500, 0.2500, 0.5000)
Cu (0.5000, 0.5000, 0.0000)
Cu (0.2500, 0.7500, 0.5000)
W (0.6149, 0.1250, 0.2500)
W (0.1351, 0.6250, 0.2500)
W (0.3750, 0.3851, 0.7500)
W (0.8750, 0.8649, 0.7500)

Summary:
The uncorrected energy is -8.01 eV per atom. The total moment comes out at 0.0 μB per formula unit.

---

Entry 6:
Entry from the Alexandria database: an optimized crystal structure of CuAsW2 (GGA-PBE).

Lattice parameters (Å, degrees): 5.2891 5.0119 2.7904 80.08 78.40 118.14
Atoms (fractional coordinates):
As (0.0000, 0.5000, 0.5000)
Cu (0.5000, 0.5000, 0.0000)
W (0.0000, 0.0000, 0.0000)
W (0.5000, 0.0000, 0.5000)

Summary:
The uncorrected energy is -8.18 eV per atom. The total moment comes out at 0.0 μB per formula unit.

---

Entry 7:
Entry from the Alexandria database: an optimized crystal structure of Cu2AsW (GGA-PBE).

Lattice parameters (Å, degrees): 2.7056 2.7056 8.5833 90.00 90.00 105.24
Atoms (fractional coordinates):
As (0.5000, 0.5000, 0.7393)
Cu (0.0000, 0.0000, 0.0284)
Cu (0.5000, 0.5000, 0.2444)
W (0.0000, 0.0000, 0.4880)

Summary:
The uncorrected energy is -6.08 eV per atom. The total moment comes out at 0.0 μB per formula unit.

---

Entry 8:
Entry from the Alexandria database: an optimized crystal structure of CuAsW (GGA-PBE).

Lattice parameters (Å, degrees): 7.0637 6.8834 2.7856 82.14 74.87 22.99
Atoms (fractional coordinates):
As (0.0128, 0.0128, 0.9872)
Cu (0.3197, 0.3197, 0.6803)
W (0.6674, 0.6674, 0.3326)

Summary:
The uncorrected energy is -6.76 eV per atom. The total moment comes out at 0.0 μB per formula unit. For the energy relative to the lowest polymorph listed for this composition, the calculation gives 0.745 eV per formula unit.

---

Entry 9:
Entry from the Alexandria database: an optimized crystal structure of Cu2AsW (GGA-PBE).

Lattice parameters (Å, degrees): 3.1906 3.1906 5.5721 90.00 90.00 90.00
Atoms (fractional coordinates):
As (0.5000, 0.5000, 0.7414)
Cu (0.0000, 0.0000, 0.0238)
Cu (0.5000, 0.5000, 0.2234)
W (0.0000, 0.0000, 0.5115)

Summary:
The uncorrected energy is -6.23 eV per atom. The total moment comes out at 0.0 μB per formula unit.

---

Entry 10:
Entry from the Alexandria database: an optimized crystal structure of CuAsW2 (GGA-PBE).

Lattice parameters (Å, degrees): 2.7666 2.7666 8.7756 90.00 90.00 107.84
Atoms (fractional coordinates):
As (0.0000, 0.0000, 0.4962)
Cu (0.5000, 0.5000, 0.7620)
W (0.0000, 0.0000, 0.9970)
W (0.5000, 0.5000, 0.2447)

Summary:
The uncorrected energy is -8.31 eV per atom. The total moment comes out at 0.0 μB per formula unit.

---

Entry 11:
Entry from the Alexandria database: an optimized crystal structure of CuAsW2 (GGA-PBE).

Lattice parameters (Å, degrees): 3.9548 3.8948 3.8948 90.00 90.00 90.00
Atoms (fractional coordinates):
As (0.5000, 0.5000, 0.0000)
Cu (0.5000, 0.0000, 0.5000)
W (0.0000, 0.0000, 0.0000)
W (0.0000, 0.5000, 0.5000)

Summary:
The uncorrected energy is -8.08 eV per atom. The total moment comes out at 0.0 μB per formula unit.

---

Entry 12:
Entry from the Alexandria database: an optimized crystal structure of Cu2AsW (GGA-PBE).

Lattice parameters (Å, degrees): 4.0455 3.7205 3.7205 90.00 90.00 90.00
Atoms (fractional coordinates):
As (0.5000, 0.0000, 0.5000)
Cu (0.0000, 0.0000, 0.0000)
Cu (0.0000, 0.5000, 0.5000)
W (0.5000, 0.5000, 0.0000)

Summary:
The uncorrected energy is -6.08 eV per atom. The total moment comes out at 0.0 μB per formula unit.

---

Entry 13:
Entry from the Alexandria database: an optimized crystal structure of Cu2AsW (GGA-PBE).

Lattice parameters (Å, degrees): 4.2382 2.7087 4.9892 90.24 90.00 90.00
Atoms (fractional coordinates):
As (0.5000, 0.9996, 0.7299)
Cu (0.0000, 0.0092, 0.0170)
Cu (0.5000, 0.9905, 0.2484)
W (0.0000, 0.5007, 0.5048)

Summary:
The uncorrected energy is -6.12 eV per atom. The total moment comes out at 0.0 μB per formula unit.

---

Entry 14:
Entry from the Alexandria database: an optimized crystal structure of CuAsW (GGA-PBE).

Lattice parameters (Å, degrees): 4.9265 4.9238 4.9238 142.49 142.50 54.08
Atoms (fractional coordinates):
As (0.0006, 0.0002, 0.0004)
Cu (0.3392, 0.3394, 0.9998)
W (0.6603, 0.6605, 0.9998)

Summary:
The uncorrected energy is -6.91 eV per atom. The total moment comes out at 0.0 μB per formula unit. For the energy relative to the lowest polymorph listed for this composition, the calculation gives 0.296 eV per formula unit.

---

Entry 15:
Entry from the Alexandria database: an optimized crystal structure of CuAsW2 (GGA-PBE).

Lattice parameters (Å, degrees): 3.3102 3.3102 5.5385 90.00 90.00 90.00
Atoms (fractional coordinates):
As (0.0000, 0.0000, 0.5127)
Cu (0.5000, 0.5000, 0.7512)
W (0.0000, 0.0000, 0.9948)
W (0.5000, 0.5000, 0.2413)

Summary:
The uncorrected energy is -8.40 eV per atom. The total moment comes out at 0.0 μB per formula unit.

---

Entry 16:
Entry from the Alexandria database: an optimized crystal structure of CuAs2W2 (GGA-PBE).

Lattice parameters (Å, degrees): 5.3466 5.3466 5.3466 126.66 126.66 78.81
Atoms (fractional coordinates):
Cu (0.0000, 0.0000, 0.0000)
As (0.2500, 0.7500, 0.5000)
As (0.7500, 0.2500, 0.5000)
W (0.6409, 0.6409, 0.0000)
W (0.3591, 0.3591, 0.0000)

Summary:
The uncorrected energy is -7.14 eV per atom. The total moment comes out at 0.0 μB per formula unit.

---

Entry 17:
Entry from the Alexandria database: an optimized crystal structure of CuAsW2 (GGA-PBE).

Lattice parameters (Å, degrees): 2.7690 2.7690 8.3624 90.00 90.00 107.10
Atoms (fractional coordinates):
As (0.5000, 0.5000, 0.2500)
Cu (0.5000, 0.5000, 0.7500)
W (0.0000, 0.0000, 0.9980)
W (0.0000, 0.0000, 0.5020)

Summary:
The uncorrected energy is -8.05 eV per atom. The total moment comes out at 0.0 μB per formula unit.

---

Entry 18:
Entry from the Alexandria database: an optimized crystal structure of Cu2AsW (GGA-PBE).

Lattice parameters (Å, degrees): 5.2430 5.2430 4.2401 66.15 66.15 32.32
Atoms (fractional coordinates):
As (0.2500, 0.2500, 0.2500)
Cu (0.9882, 0.9882, 0.0116)
Cu (0.5118, 0.5118, 0.4884)
W (0.7500, 0.7500, 0.7500)

Summary:
The uncorrected energy is -6.13 eV per atom. The total moment comes out at 0.0 μB per formula unit.

---

Entry 19:
Entry from the Alexandria database: an optimized crystal structure of CuAsW3 (GGA-PBE).

Lattice parameters (Å, degrees): 4.5885 4.5885 4.5885 90.00 90.00 90.00
Atoms (fractional coordinates):
As (0.0000, 0.0000, 0.0000)
Cu (0.5000, 0.5000, 0.5000)
W (0.0000, 0.5000, 0.0000)
W (0.0000, 0.0000, 0.5000)
W (0.5000, 0.0000, 0.0000)

Summary:
The uncorrected energy is -7.71 eV per atom. The total moment comes out at 0.0 μB per formula unit. For the energy relative to the lowest polymorph listed for this composition, the calculation gives 0.000 eV per formula unit.

---

Entry 20:
Entry from the Alexandria database: an optimized crystal structure of Cu2AsW (GGA-PBE).

Lattice parameters (Å, degrees): 8.6347 8.6347 8.6347 18.90 18.90 18.90
Atoms (fractional coordinates):
As (0.7488, 0.7488, 0.7488)
Cu (0.9960, 0.9960, 0.9960)
Cu (0.2530, 0.2530, 0.2530)
W (0.5022, 0.5022, 0.5022)

Summary:
The uncorrected energy is -6.13 eV per atom. The total moment comes out at 0.0 μB per formula unit.